# Ac3SbP2Pt6

Ac3SbP2Pt6 after structural relaxation (PBE, Alexandria).

For the density, the calculation gives 11.558 g/cm3. The electronic total energy comes out at -74.302 eV/f.u.

The structure belongs to space group P-3m1 (No. 164); the cell edges are 6.5903, 6.5903 and 7.7736 Å and the angles 90.00°, 90.00° and 120.00°. Symmetry generates all atoms from Ac at (0.0000, 0.0000, 0.0000), Ac at (0.3333, 0.6667, 0.6614), Sb at (0.0000, 0.0000, 0.5000), P at (0.3333, 0.6667, 0.0824) and Pt at (0.1845, 0.3691, 0.2873).